# AcPmSn | Alexandria | PBE | optimized geometry
# SG	P-6m2 (187)
# formation energy from the elements	-1.1	eV per formula unit
# polymorph energy (0 for the lowest one)	0.61	eV/f.u.
# spin magnetization	0.00	Bohr magnetons per cell
data_AcPmSn
_chemical_formula_sum 'Ac1 Pm1 Sn1'
_cell_length_a 5.2935
_cell_length_b 5.2935
_cell_length_c 4.4920
_cell_angle_alpha 90.00
_cell_angle_beta 90.00
_cell_angle_gamma 120.00
_space_group_name_H-M_alt 'P 1'
_space_group_IT_number 1
loop_
_space_group_symop_operation_xyz
'x,y,z'
loop_
_atom_site_label
_atom_site_fract_x
_atom_site_fract_y
_atom_site_fract_z
Ac1 0.0000 0.0000 0.0000
Pm1 0.6667 0.3333 0.5000
Sn1 0.3333 0.6667 0.5000

# AcPm5Sn5 | Alexandria | PBE | optimized geometry
# SG	C2/m (12)
# formation energy from the elements	-4.9	eV per formula unit
# spin magnetization	0.45	Bohr magnetons per cell
data_AcPm5Sn5
_chemical_formula_sum 'Ac1 Pm5 Sn5'
_cell_length_a 7.9277
_cell_length_b 7.9277
_cell_length_c 8.8706
_cell_angle_alpha 105.71
_cell_angle_beta 105.71
_cell_angle_gamma 47.75
_space_group_name_H-M_alt 'P 1'
_space_group_IT_number 1
loop_
_space_group_symop_operation_xyz
'x,y,z'
loop_
_atom_site_label
_atom_site_fract_x
_atom_site_fract_y
_atom_site_fract_z
Ac1 0.0000 0.0000 0.0000
Pm1 0.0000 0.0000 0.5000
Pm2 0.3269 0.3269 0.1582
Pm3 0.3384 0.3384 0.6655
Pm4 0.6616 0.6616 0.3345
Pm5 0.6731 0.6731 0.8418
Sn1 0.1689 0.1689 0.8174
Sn2 0.1695 0.1695 0.3477
Sn3 0.5000 0.5000 0.0000
Sn4 0.8305 0.8305 0.6523
Sn5 0.8311 0.8311 0.1826

# Ac7PmSn5 | Alexandria | PBE | optimized geometry
# SG	Imm2 (44)
# formation energy from the elements	-5.6	eV per formula unit
# spin magnetization	0.00	Bohr magnetons per cell
data_Ac7PmSn5
_chemical_formula_sum 'Ac7 Pm1 Sn5'
_cell_length_a 8.9864
_cell_length_b 8.9864
_cell_length_c 8.9864
_cell_angle_alpha 134.62
_cell_angle_beta 100.50
_cell_angle_gamma 96.63
_space_group_name_H-M_alt 'P 1'
_space_group_IT_number 1
loop_
_space_group_symop_operation_xyz
'x,y,z'
loop_
_atom_site_label
_atom_site_fract_x
_atom_site_fract_y
_atom_site_fract_z
Ac1 0.0000 0.0000 0.0000
Ac2 0.2512 0.5723 0.6789
Ac3 0.3550 0.3550 0.0000
Ac4 0.3950 0.0614 0.3335
Ac5 0.7279 0.0614 0.6665
Ac6 0.8218 0.3218 0.5000
Ac7 0.8934 0.5723 0.3211
Pm1 0.6882 0.6882 0.0000
Sn1 0.0537 0.0410 0.4596
Sn2 0.0537 0.5941 0.0128
Sn3 0.3116 0.8116 0.5000
Sn4 0.5814 0.0410 0.9872
Sn5 0.5814 0.5941 0.5404